Entry 1:
Entry from the Alexandria database: a relaxed PrRh2 crystal (PBE-GGA).

POSCAR file:
```
PrRh2
1.0
-3.698 2.255 -3.289
-5.288 -1.035 0.738
-3.297 3.895 1.881
Rh Pr
4 2
Direct
0.125 0.125 0.125
0.125 0.125 0.625
0.125 0.625 0.125
0.625 0.125 0.125
0.750 0.750 0.750
0.500 0.500 0.500
```

Values from the calculation:
Calculated formation energy ... -0.640 eV per atom
DOS at the Fermi energy ... 1.58 states/eV/f.u.
Space group ... Fd-3m

Entry 2:
Entry from the Alexandria database: a relaxed SrCu4As3O12 crystal (PBE-GGA).

POSCAR file:
```
SrCu4As3O12
1.0
6.580 -0.181 -0.251
-1.761 6.343 -0.251
-1.761 -2.251 5.935
O Cu Sr As
12 4 1 3
Direct
0.318 0.682 0.500
0.357 0.000 0.288
0.909 0.500 0.091
0.091 0.909 0.500
0.712 0.000 0.643
0.500 0.091 0.909
0.288 0.357 0.000
0.500 0.318 0.682
0.000 0.288 0.357
0.682 0.500 0.318
0.000 0.643 0.712
0.643 0.712 0.000
0.500 0.500 0.500
0.114 0.500 0.886
0.886 0.114 0.500
0.500 0.886 0.114
0.000 0.000 0.000
0.000 0.578 0.422
0.422 0.000 0.578
0.578 0.422 0.000
```

Values from the calculation:
Raw formation energy ... -21.3 eV per formula unit
DOS at the Fermi energy ... 9.38 states/eV/f.u.
Space group ... R32

Entry 3:
Entry from the Alexandria database: a relaxed Cd2CuB2 crystal (PBE-GGA).

POSCAR file:
```
Cd2CuB2
1.0
4.034 0.000 0.000
0.000 4.034 0.000
2.017 2.017 4.541
B Cu Cd
2 1 2
Direct
0.587 0.587 0.827
0.413 0.413 0.173
0.000 0.000 0.000
0.750 0.250 0.500
0.250 0.750 0.500
```

Values from the calculation:
Calculated formation energy ... 0.853 eV per atom
DOS at the Fermi energy ... 1.76 states/eV/f.u.
Space group ... I4/mmm
Polymorph energy (0 for the lowest one) ... 212 meV/atom

Entry 4:
Entry from the Alexandria database: a relaxed NaSb2H crystal (PBE-GGA).

POSCAR file:
```
NaSb2H
1.0
7.787 0.000 -0.296
0.000 6.484 0.000
0.119 0.000 4.050
H Na Sb
2 2 4
Direct
0.084 0.250 0.249
0.916 0.750 0.751
0.041 0.750 0.252
0.959 0.250 0.748
0.371 0.474 0.748
0.629 0.526 0.252
0.371 0.026 0.748
0.629 0.974 0.252
```

Values from the calculation:
Space group ... P2_1/m
Polymorph energy (0 for the lowest one) ... 88 meV/atom

Short version: final energy = -42.80 -112.83 -15.02 -25.44 eV per cell, in the order given.